#w
Material: Mg6Sn2Rh
Method: DFT, GGA-PBE
State: relaxed

Cell lengths 8.0141, 8.0141, 3.4604 Å; angles 90.00, 90.00, 120.00 degrees
Space group P-62m (No. 189)
One atom of each set of equivalent atoms:
1 Mg 0.0000 0.2542 0.0000 x3
2 Mg 0.0000 0.6407 0.5000 x3
3 Sn 0.3333 0.6667 0.0000 x2
4 Rh 0.0000 0.0000 0.5000 x1

Output
For the density of states at the Fermi level, the calculation gives 3.877 states/eV per cell.

=====

#x
Material: Mg6Sn2Rh
Method: DFT, GGA-PBE
State: relaxed

Cell lengths 4.6888, 6.7952, 13.7489 Å; angles 90.00, 90.00, 90.00 degrees
Space group Immm (No. 71)
One atom of each set of equivalent atoms:
1 Mg 0.0000 0.2130 0.0000 x4
2 Mg 0.0000 0.2630 0.3473 x8
3 Sn 0.0000 0.5000 0.1659 x4
4 Rh 0.0000 0.5000 0.5000 x2

Output
For the density of states at the Fermi level, the calculation gives 5.573 states/eV per cell.

=====

Most stable to least stable, the ends of the list are #w and #x.

=====

#w
Material: Mg3SnRh
Method: DFT, GGA-PBE
State: relaxed

Cell lengths 10.4431, 8.0388, 7.0321 Å; angles 90.00, 129.68, 90.00 degrees
Space group C2/m (No. 12)
One atom of each set of equivalent atoms:
1 Mg 0.0494 0.0000 0.2497 x4
2 Mg 0.2322 0.3127 0.1822 x8
3 Sn 0.0868 0.5000 0.3804 x4
4 Rh 0.2355 0.5000 0.8654 x4

Output
For the density of states at the Fermi level, the calculation gives 9.007 states/eV per cell.

=====

#x
Material: Mg3SnRh
Method: DFT, GGA-PBE
State: relaxed

Cell lengths 4.4660, 9.9932, 8.8998 Å; angles 90.00, 90.00, 90.00 degrees
Space group Cmcm (No. 63)
One atom of each set of equivalent atoms:
1 Mg 0.0000 0.0823 0.2500 x4
2 Mg 0.0000 0.2018 0.5885 x8
3 Sn 0.0000 0.5000 0.0000 x4
4 Rh 0.0000 0.3560 0.2500 x4

Output
For the density of states at the Fermi level, the calculation gives 8.340 states/eV per cell.

=====

Most stable to least stable, the ends of the list are #x and #w.

=====

#w
Material: MgSn3Rh2
Method: DFT, GGA-PBE
State: relaxed

Cell lengths 6.5608, 6.5608, 6.5194 Å; angles 90.00, 90.00, 120.00 degrees
Space group P-3m1 (No. 164)
One atom of each set of equivalent atoms:
1 Mg 0.3333 0.6667 0.2047 x2
2 Sn 0.1695 0.3389 0.7973 x6
3 Rh 0.0000 0.0000 0.5000 x1
4 Rh 0.0000 0.5000 0.5000 x3

Output
For the density of states at the Fermi level, the calculation gives 5.844 states/eV per cell.

=====

#x
Material: MgSn3Rh2
Method: DFT, GGA-PBE
State: relaxed

Cell lengths 14.1380, 6.5838, 6.2675 Å; angles 90.00, 116.21, 90.00 degrees
Space group C2/m (No. 12)
One atom of each set of equivalent atoms:
1 Mg 0.0000 0.0000 0.0000 x2
2 Mg 0.0000 0.5000 0.0000 x2
3 Sn 0.0000 0.2502 0.5000 x4
4 Sn 0.2234 0.2495 0.2229 x8
5 Rh 0.1400 0.0000 0.8426 x4
6 Rh 0.1403 0.5000 0.4367 x4

Output
For the density of states at the Fermi level, the calculation gives 11.539 states/eV per cell.

=====

Most stable to least stable, the ends of the list are #x and #w.

=====

#w
Material: Sr2Mg2Rh
Method: DFT, GGA-PBE
State: relaxed

Cell lengths 3.8998, 3.8998, 20.0942 Å; angles 90.00, 90.00, 90.00 degrees
Space group I4/mmm (No. 139)
One atom of each set of equivalent atoms:
1 Sr 0.0000 0.0000 0.0854 x4
2 Mg 0.0000 0.5000 0.2500 x4
3 Rh 0.0000 0.0000 0.5000 x2

Output
For the density of states at the Fermi level, the calculation gives 5.700 states/eV per cell.

=====

#x
Material: Sr2Mg2Rh
Method: DFT, GGA-PBE
State: relaxed

Cell lengths 7.2236, 7.2236, 5.5189 Å; angles 90.00, 90.00, 90.00 degrees
Space group P4/mbm (No. 127)
One atom of each set of equivalent atoms:
1 Sr 0.1823 0.3177 0.0000 x4
2 Mg 0.1516 0.6516 0.5000 x4
3 Rh 0.0000 0.0000 0.5000 x2

Output
For the density of states at the Fermi level, the calculation gives 8.427 states/eV per cell.

=====

Most stable to least stable, the ends of the list are #x and #w.